First-principles (GGA-PBE) data for a relaxed Cs2BeBr5 crystal, as listed in Alexandria via LeMat-Bulk.

Lattice parameters (Å, degrees): 7.500 7.493 7.725 115.48 115.49 97.68
Fractional coordinates of all 8 atoms:
Cs 0.726 0.256 0.501
Cs 0.258 0.727 0.504
Be 0.986 0.986 0.876
Br 0.142 0.814 0.018
Br 0.773 0.773 0.504
Br 0.260 0.261 0.600
Br 0.816 0.147 0.017
Br 0.264 0.259 0.979

Values from the calculation:
- Space-group type: P1
- Raw total energy: -2.975 eV/atom
- Magnetization: 0.99 μB/f.u.